First-principles (PBE) data for a relaxed structure of SrTbAs2Rh5, as listed in the Alexandria database.

Computed properties:
space group	P4/mmm
calculated volume	164	Å³ per cell
magnetization	0.0	Bohr magnetons per cell
E_form	-0.53	eV per atom

Structure (POSCAR):
```
SrTbAs2Rh5
1.0
4.309 0.000 0.000
0.000 4.309 0.000
0.000 0.000 8.833
Sr Tb As Rh
1 1 2 5
direct
0.000 0.000 0.000
0.000 0.000 0.500
0.500 0.500 0.352
0.500 0.500 0.648
0.000 0.500 0.241
0.000 0.500 0.759
0.500 0.000 0.241
0.500 0.000 0.759
0.500 0.500 0.000
```

=====

First-principles (PBE) data for a relaxed structure of SrTeAsRh2, as listed in the Alexandria database.

Computed properties:
space group	P4/mmm
calculated volume	138	Å³ per cell
raw formation energy	1394	meV per atom
magnetization	0.5	Bohr magnetons per cell

Structure (POSCAR):
```
SrTeAsRh2
1.0
4.995 0.000 0.000
0.000 4.995 0.000
0.000 0.000 5.525
Sr Te As Rh
1 1 1 2
direct
0.000 0.000 0.000
0.500 0.500 0.500
0.000 0.000 0.500
0.000 0.500 0.000
0.500 0.000 0.000
```

=====

First-principles (PBE) data for a relaxed structure of Sr2TeAsRh, as listed in the Alexandria database.

Computed properties:
space group	P4/mmm
calculated volume	159	Å³ per cell
raw formation energy	-902	meV per atom
magnetization	0.0	Bohr magnetons per cell

Structure (POSCAR):
```
Sr2TeAsRh
1.0
5.919 0.000 0.000
0.000 5.919 0.000
0.000 0.000 4.542
Sr Te As Rh
2 1 1 1
direct
0.000 0.500 0.000
0.500 0.000 0.000
0.000 0.000 0.500
0.500 0.500 0.500
0.500 0.500 0.000
```

=====

First-principles (PBE) data for a relaxed structure of Sr2ThAs3Rh4, as listed in the Alexandria database.

Computed properties:
space group	P-4m2
calculated volume	209	Å³ per cell
magnetization	0.0	Bohr magnetons per cell
E_form	-0.82	eV per atom

Structure (POSCAR):
```
Sr2ThAs3Rh4
1.0
4.306 0.000 0.000
0.000 4.306 0.000
0.000 0.000 11.297
Sr Th As Rh
2 1 3 4
direct
0.000 0.500 0.223
0.500 0.000 0.777
0.000 0.000 0.500
0.000 0.500 0.876
0.500 0.000 0.124
0.500 0.500 0.500
0.000 0.000 0.000
0.000 0.500 0.655
0.500 0.000 0.345
0.500 0.500 0.000
```

=====

First-principles (PBE) data for a relaxed structure of Sr2TiAs3Rh4, as listed in the Alexandria database.

Computed properties:
space group	P-4m2
calculated volume	190	Å³ per cell
magnetization	0.0	Bohr magnetons per cell
E_form	-0.80	eV per atom

Structure (POSCAR):
```
Sr2TiAs3Rh4
1.0
4.177 0.000 0.000
0.000 4.177 0.000
0.000 0.000 10.880
Sr Ti As Rh
2 1 3 4
direct
0.000 0.500 0.245
0.500 0.000 0.755
0.000 0.000 0.500
0.000 0.500 0.868
0.500 0.000 0.132
0.500 0.500 0.500
0.000 0.000 0.000
0.000 0.500 0.634
0.500 0.000 0.366
0.500 0.500 0.000
```

=====

First-principles (PBE) data for a relaxed structure of SrTmAs2Rh5, as listed in the Alexandria database.

Computed properties:
space group	P4/mmm
calculated volume	188	Å³ per cell
magnetization	0.0	Bohr magnetons per cell
E_form	-0.48	eV per atom

Structure (POSCAR):
```
SrTmAs2Rh5
1.0
4.083 0.000 0.000
0.000 4.083 0.000
0.000 0.000 11.285
Sr Tm As Rh
1 1 2 5
direct
0.000 0.000 0.000
0.000 0.000 0.500
0.500 0.500 0.210
0.500 0.500 0.790
0.000 0.500 0.322
0.000 0.500 0.678
0.500 0.000 0.322
0.500 0.000 0.678
0.500 0.500 0.000
```

=====

First-principles (PBE) data for a relaxed structure of Sr2TmAs3Rh4, as listed in the Alexandria database.

Computed properties:
space group	P-4m2
calculated volume	200	Å³ per cell
magnetization	0.0	Bohr magnetons per cell
E_form	-0.84	eV per atom

Structure (POSCAR):
```
Sr2TmAs3Rh4
1.0
4.215 0.000 0.000
0.000 4.215 0.000
0.000 0.000 11.230
Sr Tm As Rh
2 1 3 4
direct
0.000 0.500 0.235
0.500 0.000 0.765
0.000 0.000 0.500
0.000 0.500 0.874
0.500 0.000 0.126
0.500 0.500 0.500
0.000 0.000 0.000
0.000 0.500 0.654
0.500 0.000 0.346
0.500 0.500 0.000
```

=====

First-principles (PBE) data for a relaxed structure of Sr2UAs3Rh4, as listed in the Alexandria database.

Computed properties:
space group	P-4m2
calculated volume	202	Å³ per cell
magnetization	2.4	Bohr magnetons per cell
E_form	-0.71	eV per atom

Structure (POSCAR):
```
Sr2UAs3Rh4
1.0
4.246 0.000 0.000
0.000 4.246 0.000
0.000 0.000 11.218
Sr U As Rh
2 1 3 4
direct
0.000 0.500 0.229
0.500 0.000 0.771
0.000 0.000 0.500
0.000 0.500 0.874
0.500 0.000 0.126
0.500 0.500 0.500
0.000 0.000 0.000
0.000 0.500 0.648
0.500 0.000 0.352
0.500 0.500 0.000
```

=====

First-principles (PBE) data for a relaxed structure of Ta2AsRh, as listed in the Alexandria database.

Computed properties:
space group	C2/m
calculated volume	132	Å³ per cell
magnetization	0.0	Bohr magnetons per cell
E_form	-0.25	eV per atom

Structure (POSCAR):
```
Ta2AsRh
1.0
5.735 0.000 0.000
0.000 7.339 0.000
-0.404 0.000 3.139
Ta As Rh
4 2 2
direct
0.250 0.250 0.000
0.250 0.750 0.000
0.750 0.250 0.000
0.750 0.750 0.000
0.000 0.000 0.500
0.500 0.500 0.500
0.000 0.500 0.500
0.500 0.000 0.500
```

=====

First-principles (PBE) data for a relaxed structure of Ta2AsRh2, as listed in the Alexandria database.

Computed properties:
space group	P4/mbm
calculated volume	172	Å³ per cell
magnetization	0.0	Bohr magnetons per cell
E_form	-0.23	eV per atom

Structure (POSCAR):
```
Ta2AsRh2
1.0
7.675 0.000 0.000
0.000 7.675 0.000
0.000 0.000 2.914
Ta As Rh
4 2 4
direct
0.160 0.340 0.000
0.340 0.840 0.000
0.660 0.160 0.000
0.840 0.660 0.000
0.000 0.000 0.500
0.500 0.500 0.500
0.133 0.633 0.500
0.367 0.133 0.500
0.633 0.867 0.500
0.867 0.367 0.500
```

=====

First-principles (PBE) data for a relaxed structure of TaAs2Rh, as listed in the Alexandria database.

Computed properties:
space group	R-3m
calculated volume	197	Å³ per cell
magnetization	0.0	Bohr magnetons per cell
E_form	-0.08	eV per atom

Structure (POSCAR):
```
TaAs2Rh
1.0
3.021 0.000 0.000
-1.510 2.616 0.000
0.000 0.000 24.889
Ta As Rh
3 6 3
direct
0.000 0.000 0.000
0.333 0.667 0.667
0.667 0.333 0.333
0.000 0.000 0.245
0.000 0.000 0.755
0.333 0.667 0.422
0.333 0.667 0.912
0.667 0.333 0.088
0.667 0.333 0.578
0.000 0.000 0.500
0.333 0.667 0.167
0.667 0.333 0.833
```

=====

First-principles (PBE) data for a relaxed structure of TaAsRh, as listed in the Alexandria database.

Computed properties:
space group	P3m1
calculated volume	49	Å³ per cell
magnetization	0.0	Bohr magnetons per cell
E_form	-0.16	eV per atom

Structure (POSCAR):
```
TaAsRh
1.0
2.955 0.000 0.000
-1.477 2.559 0.000
0.000 0.000 6.511
Ta As Rh
1 1 1
direct
0.000 0.000 0.000
0.667 0.333 0.343
0.333 0.667 0.676
```

=====

First-principles (PBE) data for a relaxed structure of TaAs2Rh, as listed in the Alexandria database.

Computed properties:
space group	P4/mmm
calculated volume	63	Å³ per cell
magnetization	0.0	Bohr magnetons per cell
E_form	-0.31	eV per atom

Structure (POSCAR):
```
TaAs2Rh
1.0
4.419 0.000 0.000
0.000 4.419 0.000
0.000 0.000 3.222
Ta As Rh
1 2 1
direct
0.000 0.000 0.000
0.000 0.500 0.500
0.500 0.000 0.500
0.500 0.500 0.000
```

=====

First-principles (PBE) data for a relaxed structure of Ta2AsRh, as listed in the Alexandria database.

Computed properties:
space group	Cm
calculated volume	131	Å³ per cell
magnetization	0.0	Bohr magnetons per cell
E_form	-0.27	eV per atom

Structure (POSCAR):
```
Ta2AsRh
1.0
9.651 0.000 0.000
0.000 3.008 0.000
-1.437 0.000 4.527
Ta As Rh
4 2 2
direct
0.000 0.000 0.000
0.219 0.000 0.632
0.500 0.500 0.000
0.719 0.500 0.632
0.246 0.500 0.144
0.746 0.000 0.144
0.470 0.000 0.482
0.970 0.500 0.482
```

=====

First-principles (PBE) data for a relaxed structure of Ta2AsRh, as listed in the Alexandria database.

Computed properties:
space group	P4mm
calculated volume	66	Å³ per cell
magnetization	0.0	Bohr magnetons per cell
E_form	-0.14	eV per atom

Structure (POSCAR):
```
Ta2AsRh
1.0
2.920 0.000 0.000
0.000 2.920 0.000
0.000 0.000 7.782
Ta As Rh
2 1 1
direct
0.000 0.000 0.000
0.500 0.500 0.286
0.000 0.000 0.535
0.500 0.500 0.743
```

=====

First-principles (PBE) data for a relaxed structure of Ta2AsRh, as listed in the Alexandria database.

Computed properties:
space group	P4/mmm
calculated volume	65	Å³ per cell
magnetization	0.0	Bohr magnetons per cell
E_form	-0.24	eV per atom

Structure (POSCAR):
```
Ta2AsRh
1.0
2.957 0.000 0.000
0.000 2.957 0.000
0.000 0.000 7.466
Ta As Rh
2 1 1
direct
0.000 0.000 0.250
0.000 0.000 0.750
0.500 0.500 0.000
0.500 0.500 0.500
```

=====

First-principles (PBE) data for a relaxed structure of Ta2AsRh, as listed in the Alexandria database.

Computed properties:
space group	Cmm2
calculated volume	133	Å³ per cell
magnetization	0.0	Bohr magnetons per cell
E_form	-0.19	eV per atom

Structure (POSCAR):
```
Ta2AsRh
1.0
3.663 0.000 0.000
0.000 4.584 0.000
0.000 0.000 7.920
Ta As Rh
4 2 2
direct
0.000 0.000 0.000
0.000 0.500 0.280
0.500 0.000 0.280
0.500 0.500 0.000
0.000 0.000 0.525
0.500 0.500 0.525
0.000 0.500 0.738
0.500 0.000 0.738
```

=====

First-principles (PBE) data for a relaxed structure of TaAs3Rh, as listed in the Alexandria database.

Computed properties:
space group	Pm-3m
calculated volume	105	Å³ per cell
polymorph energy (0 for the lowest one)	153	meV/atom
magnetization	0.0	Bohr magnetons per cell
E_form	0.90	eV per atom

Structure (POSCAR):
```
TaAs3Rh
1.0
4.721 0.000 0.000
0.000 4.721 0.000
0.000 0.000 4.721
Ta As Rh
1 3 1
direct
0.000 0.000 0.000
0.000 0.500 0.500
0.500 0.000 0.500
0.500 0.500 0.000
0.500 0.500 0.500
```

=====

First-principles (PBE) data for a relaxed structure of Ta2AsRh, as listed in the Alexandria database.

Computed properties:
space group	P4/mmm
calculated volume	66	Å³ per cell
magnetization	0.0	Bohr magnetons per cell
E_form	-0.15	eV per atom

Structure (POSCAR):
```
Ta2AsRh
1.0
4.570 0.000 0.000
0.000 4.570 0.000
0.000 0.000 3.152
Ta As Rh
2 1 1
direct
0.000 0.500 0.000
0.500 0.000 0.000
0.000 0.000 0.500
0.500 0.500 0.500
```

=====

First-principles (PBE) data for a relaxed structure of Ta2AsRh, as listed in the Alexandria database.

Computed properties:
space group	Pmmm
calculated volume	66	Å³ per cell
magnetization	0.0	Bohr magnetons per cell
E_form	-0.25	eV per atom

Structure (POSCAR):
```
Ta2AsRh
1.0
3.467 0.000 0.000
0.000 4.207 0.000
0.000 0.000 4.497
Ta As Rh
2 1 1
direct
0.000 0.000 0.000
0.500 0.000 0.500
0.000 0.500 0.500
0.500 0.500 0.000
```

=====

First-principles (PBE) data for a relaxed structure of TaAs2Rh, as listed in the Alexandria database.

Computed properties:
space group	P4mm
calculated volume	75	Å³ per cell
magnetization	0.0	Bohr magnetons per cell
E_form	-0.25	eV per atom

Structure (POSCAR):
```
TaAs2Rh
1.0
2.900 0.000 0.000
0.000 2.900 0.000
0.000 0.000 8.953
Ta As Rh
1 2 1
direct
0.000 0.000 0.000
0.000 0.000 0.601
0.500 0.500 0.222
0.500 0.500 0.784
```

=====

First-principles (PBE) data for a relaxed structure of TaAsRh, as listed in the Alexandria database.

Computed properties:
space group	I4mm
calculated volume	95	Å³ per cell
magnetization	0.0	Bohr magnetons per cell
E_form	-0.26	eV per atom

Structure (POSCAR):
```
TaAsRh
1.0
3.022 0.000 0.000
0.000 3.022 0.000
0.000 0.000 10.457
Ta As Rh
2 2 2
direct
0.000 0.000 0.000
0.500 0.500 0.500
0.000 0.000 0.668
0.500 0.500 0.168
0.000 0.000 0.326
0.500 0.500 0.826
```

=====

First-principles (PBE) data for a relaxed structure of Ta2AsRh, as listed in the Alexandria database.

Computed properties:
space group	R-3m
calculated volume	199	Å³ per cell
magnetization	0.0	Bohr magnetons per cell
E_form	-0.07	eV per atom

Structure (POSCAR):
```
Ta2AsRh
1.0
2.918 0.000 0.000
-1.459 2.527 0.000
0.000 0.000 26.989
Ta As Rh
6 3 3
direct
0.000 0.000 0.249
0.000 0.000 0.751
0.333 0.667 0.417
0.333 0.667 0.916
0.667 0.333 0.084
0.667 0.333 0.583
0.000 0.000 0.000
0.333 0.667 0.667
0.667 0.333 0.333
0.000 0.000 0.500
0.333 0.667 0.167
0.667 0.333 0.833
```

=====

First-principles (PBE) data for a relaxed structure of TaAs2Rh, as listed in the Alexandria database.

Computed properties:
space group	P2/m
calculated volume	66	Å³ per cell
magnetization	0.0	Bohr magnetons per cell
E_form	-0.21	eV per atom

Structure (POSCAR):
```
TaAs2Rh
1.0
4.344 0.000 0.000
0.000 3.127 0.000
-2.165 0.000 4.826
Ta As Rh
1 2 1
direct
0.000 0.000 0.000
0.000 0.000 0.500
0.500 0.500 0.000
0.500 0.500 0.500
```

=====

First-principles (PBE) data for a relaxed structure of TaAs2Rh, as listed in the Alexandria database.

Computed properties:
space group	Fm-3m
calculated volume	255	Å³ per cell
magnetization	0.0	Bohr magnetons per cell
E_form	-0.20	eV per atom

Structure (POSCAR):
```
TaAs2Rh
1.0
6.338 0.000 0.000
0.000 6.338 0.000
0.000 0.000 6.338
Ta As Rh
4 8 4
direct
0.000 0.000 0.000
0.000 0.500 0.500
0.500 0.000 0.500
0.500 0.500 0.000
0.250 0.250 0.250
0.250 0.250 0.750
0.250 0.750 0.250
0.250 0.750 0.750
0.750 0.250 0.250
0.750 0.250 0.750
0.750 0.750 0.250
0.750 0.750 0.750
0.000 0.000 0.500
0.000 0.500 0.000
0.500 0.000 0.000
0.500 0.500 0.500
```

=====

First-principles (PBE) data for a relaxed structure of TaAsRh, as listed in the Alexandria database.

Computed properties:
space group	P-6m2
calculated volume	47	Å³ per cell
magnetization	0.0	Bohr magnetons per cell
E_form	-0.35	eV per atom

Structure (POSCAR):
```
TaAsRh
1.0
4.318 0.000 0.000
-2.159 3.739 0.000
0.000 0.000 2.922
Ta As Rh
1 1 1
direct
0.000 0.000 0.000
0.667 0.333 0.500
0.333 0.667 0.500
```

=====

First-principles (PBE) data for a relaxed structure of Ta2AsRh, as listed in the Alexandria database.

Computed properties:
space group	F-43m
calculated volume	266	Å³ per cell
magnetization	0.0	Bohr magnetons per cell
E_form	0.10	eV per atom

Structure (POSCAR):
```
Ta2AsRh
1.0
6.430 0.000 0.000
0.000 6.430 0.000
0.000 0.000 6.430
Ta As Rh
8 4 4
direct
0.000 0.000 0.000
0.000 0.500 0.500
0.250 0.250 0.250
0.250 0.750 0.750
0.500 0.000 0.500
0.500 0.500 0.000
0.750 0.250 0.750
0.750 0.750 0.250
0.250 0.250 0.750
0.250 0.750 0.250
0.750 0.250 0.250
0.750 0.750 0.750
0.000 0.000 0.500
0.000 0.500 0.000
0.500 0.000 0.000
0.500 0.500 0.500
```

=====

First-principles (PBE) data for a relaxed structure of TaAs4Rh, as listed in the Alexandria database.

Computed properties:
space group	F-43m
calculated volume	107	Å³ per cell
magnetization	0.0	Bohr magnetons per cell
E_form	0.65	eV per atom

Structure (POSCAR):
```
TaAs4Rh
1.0
0.000 3.765 3.765
3.765 0.000 3.765
3.765 3.765 0.000
Ta As Rh
1 4 1
direct
0.000 0.000 0.000
0.126 0.625 0.625
0.625 0.126 0.625
0.625 0.625 0.126
0.625 0.625 0.625
0.250 0.250 0.250
```